The following is a DFT calculation (PBE) of crystalline ErGaCuAg at its relaxed geometry.

## Properties
Final energy ... -15.7 eV per formula unit
Total magnetization ... 0.00 μB/atom
Fermi-level density of states ... 0.69 states/eV per atom
Formation energy from the elements ... -0.298 eV/atom

```
4
Lattice="-0.427 -3.986 -2.418 3.824 -2.271 -1.464 1.201 -4.074 1.971" Properties=species:S:1:pos:R:3 pbc="T T T"
Er 0.000 0.000 0.000
Cu 1.149 -2.583 -0.478
Ag 3.448 -7.749 -1.433
Ga 2.299 -5.166 -0.955
```